# 1
Th2Be PBE optimized geometry; total magnetic moment = 0.65 μB/cell; space group = Fd-3m (227); crystal system = cubic
1.0
-2.4954 -7.7275 -1.3722
-1.2311 -5.1159 6.3353
-7.6504 -2.2779 2.0267
Be Th
2 4
direct
0.5000 0.5000 0.5000
0.2500 0.2500 0.2500
0.8750 0.3750 0.3750
0.3750 0.3750 0.8750
0.3750 0.3750 0.3750
0.3750 0.8750 0.3750

=====

# 2
Cd6Sb5 PBE optimized geometry; space group = R-3c (167); crystal system = trigonal
1.0
-1.8306 6.6767 5.7684
-0.7669 -7.1483 5.4330
8.9659 0.7035 -0.5665
Sb Cd
10 12
direct
0.9383 0.5617 0.2500
0.2500 0.9383 0.5617
0.0617 0.4383 0.7500
0.3860 0.3860 0.3860
0.4383 0.7500 0.0617
0.7500 0.0617 0.4383
0.1140 0.1140 0.1140
0.8860 0.8860 0.8860
0.6140 0.6140 0.6140
0.5617 0.2500 0.9383
0.7609 0.4336 0.7989
0.2011 0.2391 0.5664
0.2609 0.2989 0.9336
0.7391 0.7011 0.0664
0.0664 0.7391 0.7011
0.4336 0.7989 0.7609
0.9336 0.2609 0.2989
0.2989 0.9336 0.2609
0.2391 0.5664 0.2011
0.7011 0.0664 0.7391
0.7989 0.7609 0.4336
0.5664 0.2011 0.2391

=====

# 3
GdLu PBE optimized geometry; polymorph energy (0 for the lowest one) = 0 kJ/mol of formula units; total magnetic moment = 0.01 μB/cell; space group = P-6m2 (187); ΔE_f = 0.0426 eV per atom; crystal system = hexagonal
1.0
3.5815 0.0000 0.0000
-1.7908 3.1017 0.0000
0.0000 0.0000 5.5798
Gd Lu
1 1
direct
0.6667 0.3333 0.7500
0.3333 0.6667 0.2500

=====

# 4
SnOs2O6 PBE optimized geometry; polymorph energy (0 for the lowest one) = 0 kJ/mol of formula units; total magnetic moment = 0.02 μB/cell; space group = C2/c (15); crystal system = monoclinic
1.0
-7.0416 1.3131 -4.3193
-8.3556 -0.3815 -0.0645
-0.1815 5.1346 1.9889
O Sn Os
12 2 4
direct
0.8453 0.0137 0.4306
0.1547 0.9863 0.5694
0.2190 0.2201 0.3489
0.2201 0.2190 0.8489
0.3648 0.3798 0.6465
0.3798 0.3648 0.1465
0.6352 0.6202 0.3535
0.9863 0.1547 0.0694
0.7810 0.7799 0.6511
0.7799 0.7810 0.1511
0.6202 0.6352 0.8535
0.0137 0.8453 0.9306
0.7720 0.2280 0.7500
0.2280 0.7720 0.2500
0.4417 0.9123 0.5990
0.5583 0.0877 0.4010
0.0877 0.5583 0.9010
0.9123 0.4417 0.0990

=====

# 5
PrSnIr PBE optimized geometry; total magnetic moment = 0.01 μB/cell; space group = P-62m (189); crystal system = hexagonal
1.0
7.2764 0.0000 0.0000
-3.6382 6.3016 0.0000
0.0000 0.0000 4.4908
Ir Sn Pr
3 3 3
direct
0.2318 0.0000 0.0000
0.7682 0.7682 0.0000
0.0000 0.2318 0.0000
0.3333 0.6667 0.0000
0.0000 0.0000 0.5000
0.6667 0.3333 0.0000
0.0000 0.5703 0.5000
0.4297 0.4297 0.5000
0.5703 0.0000 0.5000

=====

# 6
Zr3NiAs4Pd3 PBE optimized geometry; polymorph energy (0 for the lowest one) = 2 kJ/mol of formula units; total magnetic moment = 0.00 μB/cell; space group = Pm (6); crystal system = monoclinic
1.0
-0.3693 0.5316 6.5732
3.2375 -2.1651 0.3570
4.3129 6.3780 -0.4301
Pd As Zr Ni
3 4 3 1
direct
0.3606 0.5000 0.9336
0.6407 0.0000 0.0590
0.8583 0.5000 0.5673
0.7760 0.5000 0.8794
0.2430 0.0000 0.1324
0.7616 0.0000 0.3772
0.2423 0.5000 0.6149
0.9684 0.5000 0.1868
0.4633 0.5000 0.3156
0.5314 0.0000 0.6872
0.1525 0.0000 0.4440

=====

no.,energy (eV/atom)
1,-3.94
2,-2.28
3,-4.55
4,-7.31
5,-6.45
6,-6.78